First-principles (PBE) data for Pm4MgAl2Ag after structural relaxation, as listed in Alexandria.

CIF file:
```
data_Pm4MgAl2Ag
_chemical_formula_sum 'Pm12 Mg3 Al6 Ag3'
_space_group_name_H-M_alt 'R -3 m'
_space_group_IT_number 166
_space_group_name_Hall '-R 3 2"'
_cell_length_a 5.2998
_cell_length_b 5.2998
_cell_length_c 26.0981
_cell_angle_alpha 90.00
_cell_angle_beta 90.00
_cell_angle_gamma 120.00
loop_
_atom_site_label
_atom_site_type_symbol
_atom_site_fract_x
_atom_site_fract_y
_atom_site_fract_z
_atom_site_occupancy
Pm1 Pm 0.0000 0.0000 0.1218 1
Pm2 Pm 0.0000 0.0000 0.3720 1
Mg1 Mg 0.0000 0.0000 0.5000 1
Al1 Al 0.0000 0.0000 0.2455 1
Ag1 Ag 0.0000 0.0000 0.0000 1
```

Output
magnetization = 0.000 μB per atom
total DFT energy (no corrections) = -4.153 eV/atom

First-principles (PBE) data for Tb3Nd2Sm7 after structural relaxation, as listed in Alexandria.

CIF file:
```
data_Tb3Nd2Sm7
_chemical_formula_sum 'Tb6 Nd4 Sm14'
_space_group_name_H-M_alt 'C m m m'
_space_group_IT_number 65
_space_group_name_Hall '-C 2 2'
_cell_length_a 5.802
_cell_length_b 38.452
_cell_length_c 3.647
_cell_angle_alpha 90.00
_cell_angle_beta 90.00
_cell_angle_gamma 90.00
loop_
_atom_site_label
_atom_site_type_symbol
_atom_site_fract_x
_atom_site_fract_y
_atom_site_fract_z
_atom_site_occupancy
Tb1 Tb 0.000 0.000 0.000 1
Tb2 Tb 0.000 0.185 0.000 1
Nd1 Nd 0.000 0.352 0.500 1
Sm1 Sm 0.000 0.090 0.500 1
Sm2 Sm 0.000 0.269 0.500 1
Sm3 Sm 0.000 0.428 0.000 1
Sm4 Sm 0.000 0.500 0.500 1
```

Output
magnetization = 0.000 μB per atom
distance to the lowest polymorph of the same formula = 39 meV/atom

First-principles (PBE) data for Y2HfZnB after structural relaxation, as listed in Alexandria.

CIF file:
```
data_Y2HfZnB
_chemical_formula_sum 'Y2 Hf1 Zn1 B1'
_space_group_name_H-M_alt 'P 4/m m m'
_space_group_IT_number 123
_space_group_name_Hall '-P 4 2'
_cell_length_a 5.590
_cell_length_b 5.590
_cell_length_c 3.765
_cell_angle_alpha 90.00
_cell_angle_beta 90.00
_cell_angle_gamma 90.00
loop_
_atom_site_label
_atom_site_type_symbol
_atom_site_fract_x
_atom_site_fract_y
_atom_site_fract_z
_atom_site_occupancy
Y1 Y 0.000 0.500 0.000 1
Hf1 Hf 0.000 0.000 0.500 1
Zn1 Zn 0.500 0.500 0.000 1
B1 B 0.500 0.500 0.500 1
```

Output
magnetization = 0.217 μB per atom
total DFT energy (no corrections) = -5.511 eV/atom